A plane-wave DFT calculation with PBEsol was carried out for a relaxed MoRh2 crystal.

Cell: 2.7135 5.1174 6.4430 Å, 103.60 90.00 105.37°
With the nearest neighbours (Å) after each atom.
Element x y z (fractional)
Rh 0.6378 0.2757 0.5264  8 Rh 2.66-2.77, 4 Mo 2.67-2.71
Rh 0.6906 0.3813 0.1351  5 Mo 2.67-2.70, 7 Rh 2.69-2.77
Rh 0.3622 0.7243 0.4736  8 Rh 2.66-2.77, 4 Mo 2.67-2.71
Rh 0.3094 0.6187 0.8649  5 Mo 2.67-2.70, 7 Rh 2.69-2.77
Mo 0.9708 0.9416 0.1965  9 Rh 2.67-2.71, 3 Mo 2.71-2.73
Mo 0.0292 0.0584 0.8035  9 Rh 2.67-2.71, 3 Mo 2.71-2.73

Properties
Its space group is C2/m. The total DFT energy (no corrections) is -9.532 eV/atom.